{
  "formula": "CaY2Rh2",
  "functional": "GGA-PBE",
  "state": "relaxed",
  "lattice": [[-2.3267, 2.3267, 5.8707], [2.3267, -2.3267, 5.8707], [2.3267, 2.3267, -5.8707]],
  "species": ["Ca", "Y", "Y", "Rh", "Rh"],
  "frac_coords": [[0.0000, 0.0000, 0.0000], [0.2500, 0.7500, 0.5000], [0.7500, 0.2500, 0.5000], [0.3899, 0.3899, 0.0000], [0.6101, 0.6101, 0.0000]],
  "energy_ev_per_atom": -6.424,
  "formation_energy_mev_per_atom": -497.7
}